Entry from Alexandria via LeMat-Bulk: HgGeBP2 after structural relaxation (PBE).

The structure belongs to space group P4/mmm (No. 123); the cell edges are 4.096, 4.096 and 5.032 Å and the angles 90.00°, 90.00° and 90.00°. The asymmetric unit holds Hg at (0.000, 0.000, 0.000), Ge at (0.500, 0.500, 0.000), B at (0.500, 0.500, 0.500) and P at (0.000, 0.500, 0.500).

As for the crystal system: tetragonal. The calculation puts the formation enthalpy at 0 K at 75 kJ per mole of atoms.



Entry from Alexandria via LeMat-Bulk: HgGeBRh2 after structural relaxation (PBE).

The structure belongs to space group P4/mmm (No. 123); the cell edges are 4.589, 4.589 and 5.015 Å and the angles 90.00°, 90.00° and 90.00°. The asymmetric unit holds Hg at (0.000, 0.000, 0.000), Ge at (0.000, 0.000, 0.500), B at (0.500, 0.500, 0.000) and Rh at (0.000, 0.500, 0.500).

As for the crystal system: tetragonal. The calculation puts the formation enthalpy at 0 K at 142 kJ per mole of atoms.



Entry from Alexandria via LeMat-Bulk: HgGeB2Sb after structural relaxation (PBE).

The structure belongs to space group P4/mmm (No. 123); the cell edges are 4.222, 4.222 and 6.238 Å and the angles 90.00°, 90.00° and 90.00°. The asymmetric unit holds Hg at (0.000, 0.000, 0.000), Ge at (0.500, 0.500, 0.500), B at (0.000, 0.500, 0.000) and Sb at (0.000, 0.000, 0.500).

The value obtained for the formation energy from raw total energies is 1.632 eV per atom. As for the crystal system: tetragonal.



Entry from Alexandria via LeMat-Bulk: HgGeBSe2 after structural relaxation (PBE).

The structure belongs to space group P4/mmm (No. 123); the cell edges are 5.268, 5.268 and 3.924 Å and the angles 90.00°, 90.00° and 90.00°. The asymmetric unit holds Hg at (0.000, 0.000, 0.000), Ge at (0.500, 0.500, 0.500), B at (0.500, 0.500, 0.000) and Se at (0.000, 0.500, 0.500).

The value obtained for the formation energy from raw total energies is 0.738 eV per atom. As for the crystal system: tetragonal.